i) # Mo2IrPt

A relaxed Mo2IrPt crystal (PBE, Alexandria via LeMat-Bulk).

It has space group P2/m (No. 10), with a = 2.749 Å, b = 4.024 Å, c = 5.513 Å, α = 90.00°, β = 90.08° and γ = 90.00°. The asymmetric unit holds Mo at (0.000, 0.000, 0.239), Ir at (0.500, 0.500, 0.000) and Pt at (0.500, 0.500, 0.500).



ii) # Mo2IrPt

A relaxed Mo2IrPt crystal (PBE, Alexandria via LeMat-Bulk).

It has space group Cmmm (No. 65), with a = 5.494 Å, b = 8.065 Å, c = 2.747 Å, α = 90.00°, β = 90.00° and γ = 90.00°. The asymmetric unit holds Mo at (0.250, 0.250, 0.000), Ir at (0.000, 0.000, 0.500) and Pt at (0.000, 0.500, 0.500).



iii) # Mo2IrPt

A relaxed Mo2IrPt crystal (PBE, Alexandria via LeMat-Bulk).

It has space group R-3m (No. 166, hexagonal axes), with a = 2.7818 Å, b = 2.7818 Å, c = 27.4981 Å, α = 90.00°, β = 90.00° and γ = 120.00°. The asymmetric unit holds Mo at (0.0000, 0.0000, 0.2482), Ir at (0.0000, 0.0000, 0.5000) and Pt at (0.0000, 0.0000, 0.0000).



iv) # Mo2IrPt

A relaxed Mo2IrPt crystal (PBE, Alexandria via LeMat-Bulk).

It has space group F222 (No. 22), with a = 5.611 Å, b = 5.620 Å, c = 7.766 Å, α = 90.00°, β = 90.00° and γ = 90.00°. The asymmetric unit holds Mo at (0.000, 0.000, 0.000), Mo at (0.250, 0.250, 0.250), Ir at (0.000, 0.000, 0.500) and Pt at (0.250, 0.250, 0.750).



Most favorable structure: i). The second most favorable one is 1.3 kJ/mol of atoms above it.



i) # MoIr2Pt

A relaxed MoIr2Pt crystal (PBE, Alexandria via LeMat-Bulk).

It has space group P4/mmm (No. 123), with a = 3.944 Å, b = 3.944 Å, c = 3.855 Å, α = 90.00°, β = 90.00° and γ = 90.00°. The asymmetric unit holds Mo at (0.000, 0.000, 0.000), Ir at (0.000, 0.500, 0.500) and Pt at (0.500, 0.500, 0.000).



ii) # MoIr2Pt

A relaxed MoIr2Pt crystal (PBE, Alexandria via LeMat-Bulk).

It has space group C2/m (No. 12), with a = 9.244 Å, b = 2.752 Å, c = 4.792 Å, α = 90.00°, β = 99.66° and γ = 90.00°. The asymmetric unit holds Mo at (0.000, 0.000, 0.000), Ir at (0.245, 0.500, 0.244) and Pt at (0.000, 0.500, 0.500).



Most favorable structure: i). The second most favorable one is 0.9 kJ/mol of atoms above it.